1.
{"formula": "PrHoAsO", "functional": "PBE", "state": "relaxed", "lattice_angstrom": [[4.364, 0.000, 0.000], [0.000, 7.509, 0.000], [0.000, 0.000, 6.172]], "species": ["Pr", "Pr", "Ho", "Ho", "As", "As", "O", "O"], "fractional_positions": [[0.000, 0.203, 0.000], [0.000, 0.797, 0.500], [0.500, 0.393, 0.586], [0.500, 0.607, 0.086], [0.000, 0.185, 0.492], [0.000, 0.815, 0.992], [0.500, 0.341, 0.937], [0.500, 0.659, 0.437]], "m_tot_mub_per_atom": 0.0025, "e_above_lowest_polymorph_kcal_per_mol_atoms": 0.00, "final_energy_ev_per_atom": -6.71}



2.
{"formula": "HfCuBOs", "functional": "PBE", "state": "relaxed", "lattice_angstrom": [[0.000, 3.043, 3.043], [3.043, 0.000, 3.043], [3.043, 3.043, 0.000]], "species": ["Hf", "Cu", "B", "Os"], "fractional_positions": [[0.000, 0.000, 0.000], [0.500, 0.500, 0.500], [0.250, 0.250, 0.250], [0.750, 0.750, 0.750]], "m_tot_mub_per_atom": 0.0010, "e_above_lowest_polymorph_kcal_per_mol_atoms": 3.10, "final_energy_ev_per_atom": -7.33}



3.
{"formula": "ScNb2As", "functional": "PBE", "state": "relaxed", "lattice_angstrom": [[0.000, 3.281, 3.281], [3.281, 0.000, 3.281], [3.281, 3.281, 0.000]], "species": ["Sc", "Nb", "Nb", "As"], "fractional_positions": [[0.000, 0.000, 0.000], [0.250, 0.250, 0.250], [0.500, 0.500, 0.500], [0.750, 0.750, 0.750]], "m_tot_mub_per_atom": 0.0020, "final_energy_ev_per_atom": -8.01}



4.
{"formula": "PrI2F2", "functional": "PBE", "state": "relaxed", "lattice_angstrom": [[-3.295, 4.550, 4.606], [3.295, -4.550, 4.606], [3.295, 4.550, -4.606]], "species": ["Pr", "Pr", "I", "I", "I", "I", "F", "F", "F", "F"], "fractional_positions": [[0.243, 0.000, 0.243], [0.757, 0.000, 0.757], [0.224, 0.724, 0.500], [0.247, 0.247, 0.000], [0.753, 0.753, 0.000], [0.776, 0.276, 0.500], [0.335, 0.293, 0.628], [0.335, 0.707, 0.042], [0.665, 0.293, 0.958], [0.665, 0.707, 0.372]], "m_tot_mub_per_atom": 0.0002, "final_energy_ev_per_atom": -4.39}



5.
{"formula": "ErTm2In3AgPt2", "functional": "PBE", "state": "relaxed", "lattice_angstrom": [[3.722, 0.000, 0.000], [0.000, 6.752, 3.897], [0.000, -6.752, 3.897]], "species": ["Er", "Tm", "Tm", "In", "In", "In", "Ag", "Pt", "Pt"], "fractional_positions": [[0.000, 0.000, 0.000], [0.000, 0.409, 0.819], [0.000, 0.819, 0.409], [0.500, 0.140, 0.409], [0.500, 0.409, 0.140], [0.500, 0.679, 0.679], [0.000, 0.409, 0.409], [0.500, 0.076, 0.743], [0.500, 0.743, 0.076]], "m_tot_mub_per_atom": 0.0029, "final_energy_ev_per_atom": -4.89}



6.
{"formula": "Ta2InPt2", "functional": "PBE", "state": "relaxed", "lattice_angstrom": [[-2.080, 2.080, 5.815], [2.080, -2.080, 5.815], [2.080, 2.080, -5.815]], "species": ["Ta", "Ta", "In", "Pt", "Pt"], "fractional_positions": [[0.250, 0.750, 0.500], [0.750, 0.250, 0.500], [0.000, 0.000, 0.000], [0.391, 0.391, 0.000], [0.609, 0.609, 0.000]], "m_tot_mub_per_atom": 0.0006, "final_energy_ev_per_atom": -7.85}



7.
{"formula": "NaErPt", "functional": "PBE", "state": "relaxed", "lattice_angstrom": [[0.000, 3.332, 3.332], [3.332, 0.000, 3.332], [3.332, 3.332, 0.000]], "species": ["Na", "Er", "Pt"], "fractional_positions": [[0.000, 0.000, 0.000], [0.250, 0.250, 0.250], [0.500, 0.500, 0.500]], "m_tot_mub_per_atom": 0.0002, "e_above_lowest_polymorph_kcal_per_mol_atoms": 8.62, "final_energy_ev_per_atom": -4.16}



8.
{"formula": "Li4Cd2InGa", "functional": "PBE", "state": "relaxed", "lattice_angstrom": [[4.621, 0.000, 0.000], [0.000, 4.621, 0.000], [0.000, 0.000, 6.595]], "species": ["Li", "Li", "Li", "Li", "Cd", "Cd", "In", "Ga"], "fractional_positions": [[0.000, 0.000, 0.000], [0.000, 0.500, 0.735], [0.500, 0.000, 0.265], [0.500, 0.500, 0.500], [0.000, 0.500, 0.266], [0.500, 0.000, 0.734], [0.500, 0.500, 0.000], [0.000, 0.000, 0.500]], "final_energy_ev_per_atom": -2.19}



9.
{"formula": "TeIr15", "functional": "PBE", "state": "relaxed", "lattice_angstrom": [[4.716, 0.000, 0.000], [0.000, 34.540, 0.000], [-1.566, 0.000, 4.451]], "species": ["Te", "Te", "Ir", "Ir", "Ir", "Ir", "Ir", "Ir", "Ir", "Ir", "Ir", "Ir", "Ir", "Ir", "Ir", "Ir", "Ir", "Ir", "Ir", "Ir", "Ir", "Ir", "Ir", "Ir", "Ir", "Ir", "Ir", "Ir", "Ir", "Ir", "Ir", "Ir"], "fractional_positions": [[0.000, 0.194, 0.250], [0.000, 0.806, 0.750], [0.000, 0.242, 0.750], [0.000, 0.283, 0.250], [0.000, 0.322, 0.750], [0.000, 0.362, 0.250], [0.000, 0.401, 0.750], [0.000, 0.440, 0.250], [0.000, 0.480, 0.750], [0.000, 0.520, 0.250], [0.000, 0.560, 0.750], [0.000, 0.599, 0.250], [0.000, 0.638, 0.750], [0.000, 0.678, 0.250], [0.000, 0.717, 0.750], [0.000, 0.758, 0.250], [0.500, 0.206, 0.750], [0.500, 0.242, 0.250], [0.500, 0.282, 0.750], [0.500, 0.322, 0.250], [0.500, 0.361, 0.750], [0.500, 0.401, 0.250], [0.500, 0.441, 0.750], [0.500, 0.480, 0.250], [0.500, 0.520, 0.750], [0.500, 0.559, 0.250], [0.500, 0.599, 0.750], [0.500, 0.639, 0.250], [0.500, 0.678, 0.750], [0.500, 0.718, 0.250], [0.500, 0.758, 0.750], [0.500, 0.794, 0.250]], "m_tot_mub_per_atom": 0.0002, "e_above_lowest_polymorph_kcal_per_mol_atoms": 1.07, "final_energy_ev_per_atom": -8.36}



10.
{"formula": "SrGa2Mo", "functional": "PBE", "state": "relaxed", "lattice_angstrom": [[0.000, 3.437, 3.437], [3.437, 0.000, 3.437], [3.437, 3.437, 0.000]], "species": ["Sr", "Ga", "Ga", "Mo"], "fractional_positions": [[0.000, 0.000, 0.000], [0.250, 0.250, 0.250], [0.500, 0.500, 0.500], [0.750, 0.750, 0.750]], "m_tot_mub_per_atom": 0.6465, "final_energy_ev_per_atom": -3.94}



11.
{"formula": "ScNbCu2", "functional": "PBE", "state": "relaxed", "lattice_angstrom": [[0.000, 3.160, 3.160], [3.160, 0.000, 3.160], [3.160, 3.160, 0.000]], "species": ["Sc", "Nb", "Cu", "Cu"], "fractional_positions": [[0.000, 0.000, 0.000], [0.250, 0.250, 0.250], [0.500, 0.500, 0.500], [0.750, 0.750, 0.750]], "formation_enthalpy_0k_kj_per_mol_atoms": 28, "m_tot_mub_per_atom": 0.5000, "final_energy_ev_per_atom": -5.67}



12.
{"formula": "SnPd3Au3", "functional": "PBE", "state": "relaxed", "lattice_angstrom": [[2.838, 1.638, 18.593], [-2.838, 1.638, 18.593], [0.000, -3.277, 18.593]], "species": ["Sn", "Sn", "Sn", "Sn", "Pd", "Pd", "Pd", "Pd", "Pd", "Pd", "Pd", "Pd", "Pd", "Pd", "Pd", "Pd", "Au", "Au", "Au", "Au", "Au", "Au", "Au", "Au", "Au", "Au", "Au", "Au"], "fractional_positions": [[0.061, 0.061, 0.061], [0.311, 0.311, 0.311], [0.689, 0.689, 0.689], [0.939, 0.939, 0.939], [0.067, 0.562, 0.562], [0.188, 0.188, 0.685], [0.188, 0.685, 0.188], [0.315, 0.812, 0.812], [0.438, 0.438, 0.933], [0.438, 0.933, 0.438], [0.562, 0.067, 0.562], [0.562, 0.562, 0.067], [0.685, 0.188, 0.188], [0.812, 0.315, 0.812], [0.812, 0.812, 0.315], [0.933, 0.438, 0.438], [0.064, 0.064, 0.556], [0.064, 0.556, 0.064], [0.186, 0.687, 0.687], [0.313, 0.313, 0.814], [0.313, 0.814, 0.313], [0.444, 0.936, 0.936], [0.556, 0.064, 0.064], [0.687, 0.186, 0.687], [0.687, 0.687, 0.186], [0.814, 0.313, 0.313], [0.936, 0.444, 0.936], [0.936, 0.936, 0.444]], "e_above_lowest_polymorph_kcal_per_mol_atoms": 0.13, "final_energy_ev_per_atom": -4.42}



13.
{"formula": "NbI3Br2", "functional": "PBE", "state": "relaxed", "lattice_angstrom": [[7.046, 0.000, 0.000], [-3.046, 6.979, 0.000], [-0.476, -3.855, 9.854]], "species": ["Nb", "Nb", "I", "I", "I", "I", "I", "I", "Br", "Br", "Br", "Br"], "fractional_positions": [[0.105, 0.220, 0.221], [0.895, 0.780, 0.779], [0.079, 0.816, 0.568], [0.238, 0.180, 0.956], [0.450, 0.578, 0.328], [0.550, 0.422, 0.672], [0.762, 0.820, 0.044], [0.921, 0.184, 0.432], [0.112, 0.623, 0.849], [0.299, 0.016, 0.248], [0.701, 0.984, 0.752], [0.888, 0.377, 0.151]], "m_tot_mub_per_atom": 0.0015, "e_above_lowest_polymorph_kcal_per_mol_atoms": 0.00, "final_energy_ev_per_atom": -3.59}



14.
{"formula": "ZrInCu2", "functional": "PBE", "state": "relaxed", "lattice_angstrom": [[4.333, 0.000, 0.000], [0.000, 4.333, 0.000], [0.000, 0.000, 3.567]], "species": ["Zr", "In", "Cu", "Cu"], "fractional_positions": [[0.000, 0.000, 0.000], [0.500, 0.500, 0.000], [0.000, 0.500, 0.500], [0.500, 0.000, 0.500]], "m_tot_mub_per_atom": 0.0150, "final_energy_ev_per_atom": -4.74}



15.
{"formula": "CdCu2GeTeSe3", "functional": "PBE", "state": "relaxed", "lattice_angstrom": [[4.215, -4.203, 0.000], [4.215, 4.203, 0.000], [-4.146, 0.000, 5.729]], "species": ["Cd", "Cu", "Cu", "Ge", "Te", "Se", "Se", "Se"], "fractional_positions": [[0.000, 0.000, 0.000], [0.263, 0.740, 0.518], [0.740, 0.263, 0.518], [0.481, 0.481, 0.000], [0.867, 0.867, 0.286], [0.126, 0.589, 0.735], [0.394, 0.394, 0.277], [0.589, 0.126, 0.735]], "final_energy_ev_per_atom": -3.62}



16.
{"formula": "HoBeW", "functional": "PBE", "state": "relaxed", "lattice_angstrom": [[0.000, 3.210, 3.210], [3.210, 0.000, 3.210], [3.210, 3.210, 0.000]], "species": ["Ho", "Be", "W"], "fractional_positions": [[0.000, 0.000, 0.000], [0.750, 0.750, 0.750], [0.250, 0.250, 0.250]], "m_tot_mub_per_atom": 0.9173, "e_above_lowest_polymorph_kcal_per_mol_atoms": 24.47, "final_energy_ev_per_atom": -5.27}



17.
{"formula": "Pu2SeSI2", "functional": "PBE", "state": "relaxed", "lattice_angstrom": [[7.146, 0.000, 0.000], [0.000, 4.257, 0.000], [-0.567, 0.000, 7.498]], "species": ["Pu", "Pu", "Se", "S", "I", "I"], "fractional_positions": [[0.000, 0.000, 0.000], [0.024, 0.500, 0.451], [0.228, 0.000, 0.321], [0.833, 0.500, 0.134], [0.269, 0.500, 0.826], [0.757, 0.000, 0.625]], "m_tot_mub_per_atom": 1.6665, "final_energy_ev_per_atom": -7.85}



18.
{"formula": "SmScHg", "functional": "PBE", "state": "relaxed", "lattice_angstrom": [[0.000, 3.525, 3.525], [3.525, 0.000, 3.525], [3.525, 3.525, 0.000]], "species": ["Sm", "Sc", "Hg"], "fractional_positions": [[0.000, 0.000, 0.000], [0.250, 0.250, 0.250], [0.750, 0.750, 0.750]], "formation_enthalpy_0k_kj_per_mol_atoms": 39, "m_tot_mub_per_atom": 0.0032, "e_above_lowest_polymorph_kcal_per_mol_atoms": 10.99, "final_energy_ev_per_atom": -3.37}



19.
{"formula": "YEr6Mg", "functional": "PBE", "state": "relaxed", "lattice_angstrom": [[7.064, 0.000, 0.000], [-3.532, 6.118, 0.000], [0.000, 0.000, 5.572]], "species": ["Y", "Er", "Er", "Er", "Er", "Er", "Er", "Mg"], "fractional_positions": [[0.000, 0.000, 0.000], [0.329, 0.165, 0.500], [0.500, 0.001, 0.000], [0.500, 0.500, 0.000], [0.835, 0.165, 0.500], [0.835, 0.671, 0.500], [0.999, 0.500, 0.000], [0.333, 0.667, 0.500]], "m_tot_mub_per_atom": 0.0459, "final_energy_ev_per_atom": -4.40}



20.
{"formula": "Hg2P", "functional": "PBE", "state": "relaxed", "lattice_angstrom": [[0.000, 5.974, 5.974], [5.974, 0.000, 5.974], [5.974, 5.974, 0.000]], "species": ["Hg", "Hg", "Hg", "Hg", "P", "P"], "fractional_positions": [[0.000, 0.000, 0.000], [0.000, 0.000, 0.500], [0.000, 0.500, 0.000], [0.500, 0.000, 0.000], [0.125, 0.125, 0.125], [0.875, 0.875, 0.875]], "e_above_lowest_polymorph_kcal_per_mol_atoms": 0.00, "final_energy_ev_per_atom": -1.67}